## MgFeO3 (PBE with a Hubbard U)

Data for a relaxed structure of MgFeO3.

Values from the calculation:
The calculated volume is 10.3 Å³ per atom. The density of states at the Fermi level comes out at 0.11 states/eV per atom. Its total energy is -28.65 eV/cell.

Unit cell a=3.722 b=3.722 c=3.722 alpha=90.00 beta=90.00 gamma=90.00
Space group Pm-3m (No. 221)
Asymmetric unit:
Mg 0.000 0.000 0.000 x1
Fe 0.500 0.500 0.500 x1
O 0.000 0.500 0.500 x3